# 1
A plane-wave DFT calculation with PBE+U was carried out for a geometry-optimized Mn2PO2 structure.

Results
The offset from the most stable computed form is 0.151 eV per atom.

```
data_Mn2PO2
_chemical_formula_sum 'Mn4 P2 O4'
_symmetry_space_group_name_H-M 'P 4/m b m'
_symmetry_Int_Tables_number 127
_symmetry_space_group_name_Hall '-P 4 2ab'
_cell_length_a 6.5169
_cell_length_b 6.5169
_cell_length_c 2.8021
_cell_angle_alpha 90.00
_cell_angle_beta 90.00
_cell_angle_gamma 90.00
loop_
_atom_site_label
_atom_site_type_symbol
_atom_site_fract_x
_atom_site_fract_y
_atom_site_fract_z
Mn1 Mn 0.1530 0.3470 0.0000
P1 P 0.0000 0.0000 0.0000
O1 O 0.1385 0.6385 0.5000
```

---

# 2
A plane-wave DFT calculation with PBE+U was carried out for a geometry-optimized PaMnP2O8 structure.

Results
The total energy comes out at -7.767 eV/atom.

```
data_PaMnP2O8
_chemical_formula_sum 'Pa1 Mn1 P2 O8'
_symmetry_space_group_name_H-M 'P -3 m 1'
_symmetry_Int_Tables_number 164
_symmetry_space_group_name_Hall '-P 3 2"'
_cell_length_a 5.1339
_cell_length_b 5.1339
_cell_length_c 6.6566
_cell_angle_alpha 90.00
_cell_angle_beta 90.00
_cell_angle_gamma 120.00
loop_
_atom_site_label
_atom_site_type_symbol
_atom_site_fract_x
_atom_site_fract_y
_atom_site_fract_z
Pa1 Pa 0.0000 0.0000 0.0000
Mn1 Mn 0.0000 0.0000 0.5000
P1 P 0.3333 0.6667 0.2262
O1 O 0.1675 0.3351 0.2952
O2 O 0.3333 0.6667 0.9942
```

---

# 3
A plane-wave DFT calculation with PBE+U was carried out for a geometry-optimized MnP2PbO structure.

Results
The offset from the most stable computed form is 0.732 eV per atom.

```
data_MnP2PbO
_chemical_formula_sum 'Mn1 P2 Pb1 O1'
_symmetry_space_group_name_H-M 'P 4/m m m'
_symmetry_Int_Tables_number 123
_symmetry_space_group_name_Hall '-P 4 2'
_cell_length_a 5.2818
_cell_length_b 5.2818
_cell_length_c 4.1652
_cell_angle_alpha 90.00
_cell_angle_beta 90.00
_cell_angle_gamma 90.00
loop_
_atom_site_label
_atom_site_type_symbol
_atom_site_fract_x
_atom_site_fract_y
_atom_site_fract_z
Mn1 Mn 0.0000 0.0000 0.0000
P1 P 0.0000 0.5000 0.5000
Pb1 Pb 0.5000 0.5000 0.5000
O1 O 0.5000 0.5000 0.0000
```

---

# 4
A plane-wave DFT calculation with PBE+U was carried out for a geometry-optimized MnP2PbO structure.

Results
The offset from the most stable computed form is 0.000 eV per atom.

```
data_MnP2PbO
_chemical_formula_sum 'Mn1 P2 Pb1 O1'
_symmetry_space_group_name_H-M 'P 4/m m m'
_symmetry_Int_Tables_number 123
_symmetry_space_group_name_Hall '-P 4 2'
_cell_length_a 5.0056
_cell_length_b 5.0056
_cell_length_c 3.6809
_cell_angle_alpha 90.00
_cell_angle_beta 90.00
_cell_angle_gamma 90.00
loop_
_atom_site_label
_atom_site_type_symbol
_atom_site_fract_x
_atom_site_fract_y
_atom_site_fract_z
Mn1 Mn 0.0000 0.0000 0.0000
P1 P 0.0000 0.5000 0.0000
Pb1 Pb 0.5000 0.5000 0.5000
O1 O 0.0000 0.0000 0.5000
```

---

# 5
A plane-wave DFT calculation with PBE+U was carried out for a geometry-optimized MnP2PdO structure.

Results
The offset from the most stable computed form is 0.013 eV per atom.

```
data_MnP2PdO
_chemical_formula_sum 'Mn1 P2 Pd1 O1'
_symmetry_space_group_name_H-M 'P 4/m m m'
_symmetry_Int_Tables_number 123
_symmetry_space_group_name_Hall '-P 4 2'
_cell_length_a 4.8254
_cell_length_b 4.8254
_cell_length_c 3.8269
_cell_angle_alpha 90.00
_cell_angle_beta 90.00
_cell_angle_gamma 90.00
loop_
_atom_site_label
_atom_site_type_symbol
_atom_site_fract_x
_atom_site_fract_y
_atom_site_fract_z
Mn1 Mn 0.0000 0.0000 0.0000
P1 P 0.0000 0.5000 0.5000
Pd1 Pd 0.5000 0.5000 0.5000
O1 O 0.5000 0.5000 0.0000
```

---

# 6
A plane-wave DFT calculation with PBE+U was carried out for a geometry-optimized MnPPdO2 structure.

Results
The offset from the most stable computed form is 0.000 eV per atom.

```
data_MnPPdO2
_chemical_formula_sum 'Mn1 P1 Pd1 O2'
_symmetry_space_group_name_H-M 'P 4/m m m'
_symmetry_Int_Tables_number 123
_symmetry_space_group_name_Hall '-P 4 2'
_cell_length_a 3.6134
_cell_length_b 3.6134
_cell_length_c 5.5064
_cell_angle_alpha 90.00
_cell_angle_beta 90.00
_cell_angle_gamma 90.00
loop_
_atom_site_label
_atom_site_type_symbol
_atom_site_fract_x
_atom_site_fract_y
_atom_site_fract_z
Mn1 Mn 0.0000 0.0000 0.0000
P1 P 0.0000 0.0000 0.5000
Pd1 Pd 0.5000 0.5000 0.5000
O1 O 0.0000 0.5000 0.0000
```

---

# 7
A plane-wave DFT calculation with PBE+U was carried out for a geometry-optimized MnPPdO2 structure.

Results
The offset from the most stable computed form is 0.365 eV per atom.

```
data_MnPPdO2
_chemical_formula_sum 'Mn1 P1 Pd1 O2'
_symmetry_space_group_name_H-M 'P 4/m m m'
_symmetry_Int_Tables_number 123
_symmetry_space_group_name_Hall '-P 4 2'
_cell_length_a 3.8959
_cell_length_b 3.8959
_cell_length_c 5.0211
_cell_angle_alpha 90.00
_cell_angle_beta 90.00
_cell_angle_gamma 90.00
loop_
_atom_site_label
_atom_site_type_symbol
_atom_site_fract_x
_atom_site_fract_y
_atom_site_fract_z
Mn1 Mn 0.0000 0.0000 0.0000
P1 P 0.5000 0.5000 0.0000
Pd1 Pd 0.5000 0.5000 0.5000
O1 O 0.0000 0.5000 0.5000
```

---

# 8
A plane-wave DFT calculation with PBE+U was carried out for a geometry-optimized MnP2PdO structure.

Results
The offset from the most stable computed form is 0.000 eV per atom.

```
data_MnP2PdO
_chemical_formula_sum 'Mn1 P2 Pd1 O1'
_symmetry_space_group_name_H-M 'P 4/m m m'
_symmetry_Int_Tables_number 123
_symmetry_space_group_name_Hall '-P 4 2'
_cell_length_a 4.5978
_cell_length_b 4.5978
_cell_length_c 3.3794
_cell_angle_alpha 90.00
_cell_angle_beta 90.00
_cell_angle_gamma 90.00
loop_
_atom_site_label
_atom_site_type_symbol
_atom_site_fract_x
_atom_site_fract_y
_atom_site_fract_z
Mn1 Mn 0.0000 0.0000 0.0000
P1 P 0.0000 0.5000 0.0000
Pd1 Pd 0.5000 0.5000 0.5000
O1 O 0.0000 0.0000 0.5000
```

---

# 9
A plane-wave DFT calculation with PBE+U was carried out for a geometry-optimized Pm2MnPO8 structure.

Results
The total energy comes out at -6.989 eV/atom.

```
data_Pm2MnPO8
_chemical_formula_sum 'Pm2 Mn1 P1 O8'
_symmetry_space_group_name_H-M 'P -3 m 1'
_symmetry_Int_Tables_number 164
_symmetry_space_group_name_Hall '-P 3 2"'
_cell_length_a 5.2351
_cell_length_b 5.2351
_cell_length_c 6.1578
_cell_angle_alpha 90.00
_cell_angle_beta 90.00
_cell_angle_gamma 120.00
loop_
_atom_site_label
_atom_site_type_symbol
_atom_site_fract_x
_atom_site_fract_y
_atom_site_fract_z
Pm1 Pm 0.3333 0.6667 0.3578
Mn1 Mn 0.0000 0.0000 0.0000
P1 P 0.0000 0.0000 0.5000
O1 O 0.1529 0.3058 0.6616
O2 O 0.3333 0.6667 0.9998
```

---

# 10
A plane-wave DFT calculation with PBE+U was carried out for a geometry-optimized PmMnPO6 structure.

Results
The total energy comes out at -7.530 eV/atom.

```
data_PmMnPO6
_chemical_formula_sum 'Pm1 Mn1 P1 O6'
_symmetry_space_group_name_H-M 'P 3 1 2'
_symmetry_Int_Tables_number 149
_symmetry_space_group_name_Hall 'P 3 2'
_cell_length_a 4.8566
_cell_length_b 4.8566
_cell_length_c 5.0199
_cell_angle_alpha 90.00
_cell_angle_beta 90.00
_cell_angle_gamma 120.00
loop_
_atom_site_label
_atom_site_type_symbol
_atom_site_fract_x
_atom_site_fract_y
_atom_site_fract_z
Pm1 Pm 0.0000 0.0000 0.0000
Mn1 Mn 0.3333 0.6667 0.5000
P1 P 0.6667 0.3333 0.5000
O1 O 0.3918 0.0305 0.6984
```

---

# 11
A plane-wave DFT calculation with PBE+U was carried out for a geometry-optimized PmMnP2O8 structure.

Results
The total energy comes out at -7.598 eV/atom.

```
data_PmMnP2O8
_chemical_formula_sum 'Pm2 Mn2 P4 O16'
_symmetry_space_group_name_H-M 'I -4 m 2'
_symmetry_Int_Tables_number 119
_symmetry_space_group_name_Hall 'I -4 -2'
_cell_length_a 7.0262
_cell_length_b 7.0262
_cell_length_c 6.0845
_cell_angle_alpha 90.00
_cell_angle_beta 90.00
_cell_angle_gamma 90.00
loop_
_atom_site_label
_atom_site_type_symbol
_atom_site_fract_x
_atom_site_fract_y
_atom_site_fract_z
Pm1 Pm 0.0000 0.0000 0.0000
Mn1 Mn 0.0000 0.5000 0.7500
P1 P 0.0000 0.0000 0.5000
P2 P 0.0000 0.5000 0.2500
O1 O 0.0000 0.1759 0.6554
O2 O 0.0000 0.3293 0.0890
```

---

# 12
A plane-wave DFT calculation with PBE+U was carried out for a geometry-optimized PmMnPO5 structure.

Results
The total energy comes out at -7.819 eV/atom.

```
data_PmMnPO5
_chemical_formula_sum 'Pm4 Mn4 P4 O20'
_symmetry_space_group_name_H-M 'C 1 2/c 1'
_symmetry_Int_Tables_number 15
_symmetry_space_group_name_Hall '-C 2yc'
_cell_length_a 8.1677
_cell_length_b 8.7892
_cell_length_c 8.0859
_cell_angle_alpha 90.00
_cell_angle_beta 118.13
_cell_angle_gamma 90.00
loop_
_atom_site_label
_atom_site_type_symbol
_atom_site_fract_x
_atom_site_fract_y
_atom_site_fract_z
Pm1 Pm 0.0000 0.0000 0.0000
Mn1 Mn 0.0000 0.3309 0.2500
P1 P 0.0000 0.3556 0.7500
O1 O 0.0000 0.1135 0.2500
O2 O 0.0247 0.2571 0.6054
O3 O 0.1673 0.4705 0.8505
```

---

| no. | total magnetic moment (μB/cell) |
| --- | --- |
| 1 | 15.90 |
| 2 | 2.61 |
| 3 | 3.28 |
| 4 | 2.35 |
| 5 | 3.31 |
| 6 | 1.89 |
| 7 | 5.52 |
| 8 | 0.00 |
| 9 | 8.03 |
| 10 | 3.00 |
| 11 | 7.90 |
| 12 | 20.00 |